Here is a geometry-optimized Nd2PuIn structure from the Alexandria database. Energies are from PBE.

```
4
Lattice="-2.4970 -1.0861 4.8142 -4.9088 -2.5480 0.0563 -0.3881 -5.2157 1.7993" Properties=species:S:1:pos:R:3 pbc="T T T"
In -3.8969 -4.4249 3.3349
Nd -1.9485 -2.2124 1.6674
Nd -5.8454 -6.6373 5.0023
Pu 0.0000 0.0000 0.0000
```

Output
Distance to the lowest polymorph of the same formula, meV/atom: 84
ΔE_f, eV/atom: -0.06
D(E_F), states/eV/cell: 17.05

---

Here is a geometry-optimized Nd12PuIn3 structure from the Alexandria database. Energies are from PBE.

```
16
Lattice="4.9873 0.0000 0.0000 0.0000 4.9873 0.0000 0.0000 0.0000 20.2502" Properties=species:S:1:pos:R:3 pbc="T T T"
Nd 2.4936 2.4936 0.0000
Nd 2.4936 2.4936 5.0981
Nd 2.4936 2.4936 10.1251
Nd 2.4936 2.4936 15.1520
Nd 2.4936 0.0000 2.5860
Nd 2.4936 0.0000 7.6144
Nd 2.4936 0.0000 12.6357
Nd 2.4936 0.0000 17.6642
Nd 0.0000 2.4936 2.5860
Nd 0.0000 2.4936 7.6144
Nd 0.0000 2.4936 12.6357
Nd 0.0000 2.4936 17.6642
Pu 0.0000 0.0000 0.0000
In 0.0000 0.0000 5.1374
In 0.0000 0.0000 10.1251
In 0.0000 0.0000 15.1127
```

Output
ΔE_f, eV/atom: -0.17
D(E_F), states/eV/cell: 28.50

---

Here is a geometry-optimized NdPuIn2Se4 structure from the Alexandria database. Energies are from PBE.

```
8
Lattice="4.2521 0.0000 0.0000 0.0000 7.3661 0.1286 0.0000 -2.5862 7.6421" Properties=species:S:1:pos:R:3 pbc="T T T"
Nd 2.1260 3.6830 0.0643
Pu 0.0000 0.0000 0.0000
In 2.1260 -1.2931 3.8210
In 0.0000 2.3899 3.8853
Se 2.1260 1.1554 1.6339
Se 2.1260 3.6244 6.1367
Se 0.0000 -0.1303 6.0305
Se 0.0000 4.9101 1.7402
```

Output
D(E_F), states/eV/cell: 12.39
E_form (uncorrected), meV per atom: -1145

---

Here is a geometry-optimized TbNdPuIn structure from the Alexandria database. Energies are from PBE.

```
4
Lattice="-3.7656 1.7771 3.5483 -4.8037 -2.5849 0.4140 -1.1490 -2.9381 4.4694" Properties=species:S:1:pos:R:3 pbc="T T T"
Nd -2.4296 -0.9365 2.1079
In -4.8591 -1.8730 4.2159
Tb -7.2887 -2.8095 6.3238
Pu 0.0000 0.0000 0.0000
```

Output
ΔE_f, eV/atom: -0.06
D(E_F), states/eV/cell: 16.24

---

Here is a geometry-optimized NdPuZnIn structure from the Alexandria database. Energies are from PBE.

```
4
Lattice="-0.4194 -5.0458 1.6213 4.2826 -2.5725 1.8182 0.4004 -1.1729 5.1700" Properties=species:S:1:pos:R:3 pbc="T T T"
Zn 0.0000 0.0000 0.0000
In 2.1318 -4.3956 4.3047
Nd 1.0659 -2.1978 2.1524
Pu 3.1977 -6.5934 6.4571
```

Output
ΔE_f, eV/atom: -0.19
D(E_F), states/eV/cell: 8.41

---

Here is a geometry-optimized RbNdIn4 structure from the Alexandria database. Energies are from PBE.

```
6
Lattice="6.2870 0.0000 0.0000 3.1435 5.4447 0.0000 3.1435 1.8149 5.1333" Properties=species:S:1:pos:R:3 pbc="T T T"
Nd 0.0000 0.0000 0.0000
Rb 3.1435 1.8149 1.2833
In 6.2870 3.6298 0.6340
In 6.2870 1.8077 3.2109
In 7.8651 4.5409 3.2109
In 4.7090 4.5409 3.2109
```

Output
ΔE_f, eV/atom: -0.16
D(E_F), states/eV/cell: 4.23